Here is a relaxed DyAl2O4 crystal from Alexandria via LeMat-Bulk. Energies are from GGA-PBE.

Cell lengths 6.406, 5.790, 7.402 Å; angles 56.53, 48.94, 74.54 degrees
Fractional positions:
Dy 0.000 0.000 0.000
Dy 0.250 0.250 0.250
Al 0.020 0.626 0.609
Al 0.505 0.641 0.624
Al 0.626 0.020 0.745
Al 0.641 0.505 0.230
O 0.258 0.382 0.489
O 0.280 0.816 0.531
O 0.379 0.761 0.868
O 0.382 0.258 0.871
O 0.719 0.878 0.970
O 0.761 0.379 0.992
O 0.816 0.280 0.372
O 0.878 0.719 0.434

Computed properties:
Distance to the lowest polymorph of the same formula (meV/atom): 0
Crystal system: orthorhombic


Here is a relaxed LaPr3Sc crystal from Alexandria via LeMat-Bulk. Energies are from GGA-PBE.

Cell lengths 6.859, 6.859, 8.774 Å; angles 106.71, 106.71, 62.46 degrees
Fractional positions:
La 0.051 0.051 0.211
La 0.949 0.949 0.789
Pr 0.096 0.595 0.384
Pr 0.276 0.276 0.000
Pr 0.405 0.904 0.616
Pr 0.595 0.096 0.384
Pr 0.724 0.724 0.000
Pr 0.904 0.405 0.616
Sc 0.437 0.437 0.753
Sc 0.563 0.563 0.247

Computed properties:
Crystal system: monoclinic
ΔH_f (0 K) (eV per atom): 0.149


Here is a relaxed CaTmZnGe crystal from Alexandria via LeMat-Bulk. Energies are from GGA-PBE.

Cell lengths 5.043, 5.043, 5.043 Å; angles 60.00, 60.00, 60.00 degrees
Fractional positions:
Ca 0.000 0.000 0.000
Tm 0.500 0.500 0.500
Zn 0.750 0.750 0.750
Ge 0.250 0.250 0.250

Computed properties:
Crystal system: cubic
ΔH_f (0 K) (eV per atom): -0.441


Here is a relaxed SeClO2 crystal from Alexandria via LeMat-Bulk. Energies are from GGA-PBE.

Cell lengths 8.632, 8.632, 8.632 Å; angles 20.34, 20.34, 20.34 degrees
Fractional positions:
Se 0.000 0.000 0.000
Cl 0.500 0.500 0.500
O 0.377 0.377 0.377
O 0.623 0.623 0.623

Computed properties:
Distance to the lowest polymorph of the same formula (meV/atom): 43
Crystal system: trigonal